Material: CePm3Ni
Method: DFT, PBE
State: relaxed

Summary:
**ΔH_f (0 K)**: 0.45 eV per formula unit
**Total moment**: 0.422 μB/atom

Cell lengths 5.4554, 5.4554, 5.4554 Å; angles 90.00, 90.00, 90.00 degrees
Last column: nearest neighbours and their distance in Å.
Space group Pm-3m (No. 221)
Unique sites:
Ce1 0.0000 0.0000 0.0000  12 Pm 3.86
Pm1 0.0000 0.5000 0.5000  2 Ni 2.73
Ni1 0.5000 0.5000 0.5000  6 Pm 2.73